## Pr2FeAgO5 (PBE with a Hubbard U)

Data for an optimized crystal structure of Pr2FeAgO5.

Crystal system: tetragonal
SG: No. 127
VASP energy: -123.2 eV for the cell shown
Spin magnetization: 5.98 μB per cell

abc: 5.6178 6.8762 6.8762
angles: 90.00 90.00 90.00
Element x y z (fractional)
Pr  0.5000  0.6781  0.1781
Pr  0.5000  0.1781  0.3219
Pr  0.5000  0.8219  0.6781
Pr  0.5000  0.3219  0.8219
Fe  0.0000  0.0000  0.5000
Fe  0.0000  0.5000  0.0000
Ag  0.0000  0.5000  0.5000
Ag  0.0000  0.0000  0.0000
O  0.5000  0.5000  0.5000
O  0.5000  0.0000  0.0000
O  0.2413  0.1294  0.6294
O  0.2413  0.8706  0.3706
O  0.2413  0.3706  0.1294
O  0.2413  0.6294  0.8706
O  0.7587  0.1294  0.6294
O  0.7587  0.6294  0.8706
O  0.7587  0.8706  0.3706
O  0.7587  0.3706  0.1294